Record 1
First-principles (PBE-GGA) data for a relaxed structure of Zr2BIr2Rh4, as listed in Alexandria.

Cell: 5.732 5.732 5.732 Å, 90.00 120.00 120.00°
Fractional coordinates of all 9 atoms:
Rh (0.516, 0.258, 0.258)
Rh (0.484, 0.742, 0.742)
Rh (0.000, 0.742, 0.258)
Rh (0.000, 0.258, 0.742)
Ir (0.000, 0.743, 0.743)
Ir (0.000, 0.257, 0.257)
Zr (0.500, 0.250, 0.750)
Zr (0.500, 0.750, 0.250)
B (0.000, 0.000, 0.000)

Results
Density   12339 kg/m3
E   -78.24 eV per cell
N(E_F)   0.76 states/eV/atom
Formation energy   -0.815 eV/atom


Record 2
First-principles (PBE-GGA) data for a relaxed structure of ZrBIrRh2, as listed in Alexandria.

Cell: 4.161 4.161 4.153 Å, 90.00 90.00 90.00°
Fractional coordinates of all 5 atoms:
B (0.000, 0.000, 0.000)
Rh (0.000, 0.500, 0.000)
Rh (0.500, 0.000, 0.000)
Zr (0.500, 0.500, 0.500)
Ir (0.000, 0.000, 0.500)

Results
Density   11549 kg/m3
E   -42.30 eV per cell
N(E_F)   0.08 states/eV/atom
Formation energy   -0.702 eV/atom